# 1
GGA-PBE Pr5Pd5Au2, relaxed; N(E_F) = 0.594 states/eV per atom; SG = C2/m; energy of formation from the pure elements = -0.745 eV per atom
1.0
7.9688 -2.1063 0.0000
7.9688 2.1063 0.0000
-7.0850 0.0000 8.7276
Pr Pd Au
5 5 2
Direct
0.0000 0.0000 0.0000
0.0972 0.0972 0.4180
0.2040 0.2040 0.8290
0.7960 0.7960 0.1710
0.9028 0.9028 0.5820
0.2775 0.2775 0.3397
0.4240 0.4240 0.1496
0.5000 0.5000 0.5000
0.5760 0.5760 0.8504
0.7225 0.7225 0.6603
0.3611 0.3611 0.7415
0.6389 0.6389 0.2585

---

# 2
GGA-PBE SrSi2P, relaxed; N(E_F) = 1.003 states/eV per atom; SG = R-3m; ΔE_f (raw) = 0.206 eV/atom
1.0
1.8266 1.0546 7.6808
-1.8266 1.0546 7.6808
0.0000 -2.1092 7.6808
Sr Si P
1 2 1
Direct
0.0000 0.0000 0.0000
0.2257 0.2257 0.2257
0.7743 0.7743 0.7743
0.5000 0.5000 0.5000

---

# 3
GGA-PBE KGa2PSe6, relaxed; SG = C2/c; ΔE_f (raw) = -0.440 eV/atom
1.0
7.1684 -6.9764 0.0000
7.1684 6.9764 0.0000
-3.2475 0.0000 6.6996
K Ga P Se
2 4 2 12
Direct
0.0544 0.9456 0.7500
0.9456 0.0544 0.2500
0.2071 0.3560 0.8750
0.3560 0.2071 0.3750
0.6440 0.7929 0.6250
0.7929 0.6440 0.1250
0.2492 0.7508 0.2500
0.7508 0.2492 0.7500
0.0504 0.7255 0.3280
0.1988 0.3416 0.5282
0.2655 0.6079 0.9582
0.2745 0.9496 0.1720
0.3416 0.1988 0.0282
0.3921 0.7345 0.5418
0.6079 0.2655 0.4582
0.6584 0.8012 0.9718
0.7255 0.0504 0.8280
0.7345 0.3921 0.0418
0.8012 0.6584 0.4718
0.9496 0.2745 0.6720

---

# 4
GGA-PBE Tm3Th2Ir2, relaxed; N(E_F) = 1.080 states/eV per atom; SG = C2/m; energy of formation from the pure elements = -0.641 eV per atom
1.0
6.0121 -1.8820 0.0000
6.0121 1.8820 0.0000
-3.8152 0.0000 8.1571
Tm Th Ir
3 2 2
Direct
0.0000 0.0000 0.0000
0.1184 0.1184 0.4304
0.8816 0.8816 0.5696
0.3297 0.3297 0.1828
0.6703 0.6703 0.8172
0.3242 0.3242 0.7600
0.6758 0.6758 0.2400

---

# 5
GGA-PBE CrCo4Os, relaxed; N(E_F) = 1.646 states/eV per atom; SG = F-43m; energy of formation from the pure elements = 0.183 eV per atom
1.0
0.0000 3.2874 3.2874
3.2874 0.0000 3.2874
3.2874 3.2874 0.0000
Cr Co Os
1 4 1
Direct
0.0000 0.0000 0.0000
0.3748 0.3748 0.3748
0.3748 0.3748 0.8756
0.3748 0.8756 0.3748
0.8756 0.3748 0.3748
0.7500 0.7500 0.7500

---

# 6
GGA-PBE Al3Co5, relaxed; N(E_F) = 0.785 states/eV per atom; SG = P6_3/mcm; energy of formation from the pure elements = -0.227 eV per atom
1.0
6.8822 0.0000 0.0000
-3.4411 5.9602 0.0000
0.0000 0.0000 4.6946
Al Co
6 10
Direct
0.0000 0.3980 0.2500
0.0000 0.6020 0.7500
0.3980 0.0000 0.2500
0.3980 0.3980 0.7500
0.6020 0.0000 0.7500
0.6020 0.6020 0.2500
0.0000 0.2251 0.7500
0.0000 0.7749 0.2500
0.2251 0.0000 0.7500
0.2251 0.2251 0.2500
0.3333 0.6667 0.0000
0.3333 0.6667 0.5000
0.6667 0.3333 0.0000
0.6667 0.3333 0.5000
0.7749 0.0000 0.2500
0.7749 0.7749 0.7500

---

Sequential total energy output: -5.446; -4.279; -3.787; -7.209; -8.029; -6.071 eV per atom
Sequential total magnetization output: 0.0; 0.0; 0.0; 0.0; 4.4; 10.3 μB/cell